Compound: PuTlCo2O5
Source: the Alexandria database
Functional: PBE+U
Structure: relaxed

## Properties
calculated volume	133	Å³/cell
final energy	-0.5295	Ry per atom
space-group type	Immm (71)
magnetic moment	3.00	μB per formula unit

Cell lengths 4.9454, 6.0192, 5.9385 Å; angles 120.45, 114.61, 90.00 degrees
Last column: nearest neighbours and their distance in Å.
Fractional positions:
Pu  0.5000  0.0000  0.0000  4 O 2.03
Tl  0.0000  0.5000  0.0000  14 O 3.01-3.33
Co  0.2230  0.2230  0.4460  3 O 1.90-2.00
Co  0.7770  0.7770  0.5540  3 O 1.90-2.00
O  0.6635  0.9291  0.3270  1 Co 1.90, 1 Pu 2.03
O  0.3365  0.0709  0.6730  1 Co 1.90, 1 Pu 2.03
O  0.3365  0.6021  0.6730  1 Co 1.90, 1 Pu 2.03
O  0.6635  0.3979  0.3270  1 Co 1.90, 1 Pu 2.03
O  0.0000  0.0000  0.0000  2 Co 2.00